No. 1
The following is a DFT calculation (PBE-GGA) of a relaxed structure of Al4In2Ge.

The value obtained for the energy of formation is 3.2 eV/f.u.

It has space group I4/mmm (No. 139), with a = 4.920 Å, b = 4.920 Å, c = 14.399 Å, α = 90.00°, β = 90.00° and γ = 90.00°. Symmetry generates all atoms from Al at (0.000, 0.000, 0.179), Al at (0.000, 0.500, 0.000), In at (0.000, 0.000, 0.370) and Ge at (0.000, 0.000, 0.000).



No. 2
The following is a DFT calculation (PBE-GGA) of a relaxed structure of Li2SbW.

It has space group Pm (No. 6), with a = 2.759 Å, b = 4.732 Å, c = 5.395 Å, α = 90.00°, β = 90.10° and γ = 90.00°. Symmetry generates all atoms from Li at (0.000, 0.000, 0.000), Li at (0.008, 0.500, 0.726), Sb at (0.504, 0.500, 0.234) and W at (0.504, 0.000, 0.503).



| no. | total DFT energy (no corrections) (eV/cell) |
| --- | --- |
| 1 | -43.82 |
| 2 | -19.61 |